Material: VAgF6
Method: DFT, PBE+U
State: optimized geometry

It has space group R-3m (No. 166, hexagonal axes), with a = 7.2373 Å, b = 7.2373 Å, c = 7.2338 Å, α = 90.00°, β = 90.00° and γ = 120.00°. The asymmetric unit holds V at (0.0000, 0.0000, 0.0000), Ag at (0.0000, 0.0000, 0.5000) and F at (0.0983, 0.5492, 0.8141).

The density is 4.14 g/cm³. The total energy is -0.1769 hartree per atom.